! PBE U2TaSi4Pt3, relaxed; values from VASP
! **Energy relative to the elements, uncorrected**: -0.66 eV/atom
! **V**: 17.85 Å³ per atom
! **M_tot**: 5.534 μB/f.u.
! **Space-group type**: No. 115
&SYSTEM
  ibrav = 0, nat = 10, ntyp = 4
/
ATOMIC_SPECIES
U 238.03 U.upf
Ta 180.95 Ta.upf
Si 28.09 Si.upf
Pt 195.08 Pt.upf
ATOMIC_POSITIONS crystal
U 0.000 0.500 0.246
U 0.500 0.000 0.754
Ta 0.000 0.000 0.500
Si 0.000 0.000 0.000
Si 0.000 0.500 0.646
Si 0.500 0.000 0.354
Si 0.500 0.500 0.000
Pt 0.000 0.500 0.882
Pt 0.500 0.000 0.118
Pt 0.500 0.500 0.500
CELL_PARAMETERS angstrom
4.198 0.000 0.000
0.000 4.198 0.000
0.000 0.000 10.132